! HgSb2Se (PBE, relaxed); values from VASP
! Uncorrected formation energy, eV per atom: 0.26
! VASP energy, eV per cell: -10.997
! M_tot, μB/f.u.: 0.00
! Polymorph energy (0 for the lowest one), eV/f.u.: 1.05
&SYSTEM
  ibrav = 0, nat = 4, ntyp = 3
/
ATOMIC_SPECIES
Se 78.96 Se.upf
Hg 200.59 Hg.upf
Sb 121.76 Sb.upf
ATOMIC_POSITIONS crystal
Se 0.500 0.500 0.000
Hg 0.750 0.250 0.500
Sb 0.000 0.000 0.000
Sb 0.250 0.750 0.500
CELL_PARAMETERS angstrom
5.732 0.000 0.000
1.902 5.408 0.000
-3.817 -2.704 3.313


! Ga2BiI8 (PBE, relaxed); values from VASP
! Uncorrected formation energy, eV per atom: -0.41
! VASP energy, eV per cell: -26.807
! M_tot, μB/f.u.: 1.02
! Polymorph energy (0 for the lowest one), eV/f.u.: 0.00
&SYSTEM
  ibrav = 0, nat = 11, ntyp = 3
/
ATOMIC_SPECIES
I 126.90 I.upf
Ga 69.72 Ga.upf
Bi 208.98 Bi.upf
ATOMIC_POSITIONS crystal
I 0.801 0.606 0.606
I 0.199 0.394 0.394
I 0.640 0.188 0.188
I 0.803 0.072 0.693
I 0.803 0.693 0.072
I 0.360 0.812 0.812
I 0.197 0.307 0.928
I 0.197 0.928 0.307
Ga 0.683 0.786 0.786
Ga 0.317 0.214 0.214
Bi 0.000 0.000 0.000
CELL_PARAMETERS angstrom
-0.719 3.507 7.094
-8.604 -1.408 0.333
-0.337 -7.618 4.241